A geometry-optimized Rb2Cd2F7 structure, computed with PBE.

## Properties
DOS at the Fermi energy: 0.98 states/eV/atom
space group: Cmmm (65)
mass density: 4.39 g/cm3
E_form (uncorrected): -2154 meV/atom

a b c (Å): 5.6001 5.6001 6.4271
angles (deg): 90.00 90.00 97.33
Closest atoms and distances in Å follow each position.
Fractional coordinates of all 11 atoms:
Rb (0.2336, 0.2336, 0.0000)  6 F 2.72-2.79
Rb (0.7664, 0.7664, 0.0000)  6 F 2.72-2.79
Cd (0.2737, 0.7263, 0.5000)  7 F 2.30-2.33
Cd (0.7263, 0.2737, 0.5000)  7 F 2.30-2.33
F (0.0000, 0.0000, 0.5000)  2 Cd 2.30
F (0.0000, 0.5000, 0.2845)  2 Cd 2.32
F (0.0000, 0.5000, 0.7155)  2 Cd 2.32
F (0.5000, 0.0000, 0.2845)  2 Cd 2.32
F (0.5000, 0.0000, 0.7155)  2 Cd 2.32
F (0.5000, 0.5000, 0.2911)  2 Cd 2.33
F (0.5000, 0.5000, 0.7089)  2 Cd 2.33

=====

A geometry-optimized Rb2CdF5 structure, computed with PBE.

## Properties
DOS at the Fermi energy: 0.24 states/eV/atom
space group: Pnma (62)
relative energy among the computed polymorphs: 0.000 eV per formula unit
mass density: 4.07 g/cm3
E_form (uncorrected): -2230 meV/atom

a b c (Å): 7.9858 6.2339 12.3919
angles (deg): 90.00 90.00 90.00
Closest atoms and distances in Å follow each position.
Fractional coordinates of all 32 atoms:
Rb (0.0166, 0.2500, 0.2199)  8 F 2.81-3.14
Rb (0.1538, 0.7500, 0.4212)  7 F 2.87-3.15
Rb (0.3462, 0.2500, 0.9212)  7 F 2.87-3.15
Rb (0.4834, 0.7500, 0.7199)  8 F 2.81-3.14
Rb (0.5166, 0.2500, 0.2801)  8 F 2.81-3.14
Rb (0.6538, 0.7500, 0.0788)  7 F 2.87-3.15
Rb (0.8462, 0.2500, 0.5788)  7 F 2.87-3.15
Rb (0.9834, 0.7500, 0.7801)  8 F 2.81-3.14
Cd (0.1710, 0.7500, 0.0645)  6 F 2.12-2.22
Cd (0.3290, 0.2500, 0.5645)  6 F 2.12-2.22
Cd (0.6710, 0.7500, 0.4355)  6 F 2.12-2.22
Cd (0.8290, 0.2500, 0.9355)  6 F 2.12-2.22
F (0.0000, 0.0000, 0.0000)  2 Cd 2.22
F (0.0000, 0.5000, 0.0000)  2 Cd 2.22
F (0.0217, 0.7500, 0.2058)  1 Cd 2.12
F (0.1709, 0.5077, 0.6206)  1 Cd 2.16
F (0.1709, 0.9923, 0.6206)  1 Cd 2.16
F (0.2111, 0.2500, 0.4090)  1 Cd 2.15
F (0.2889, 0.7500, 0.9090)  1 Cd 2.15
F (0.3291, 0.0077, 0.1206)  1 Cd 2.16
F (0.3291, 0.4923, 0.1206)  1 Cd 2.16
F (0.4783, 0.2500, 0.7058)  1 Cd 2.12
F (0.5000, 0.0000, 0.5000)  2 Cd 2.22
F (0.5000, 0.5000, 0.5000)  2 Cd 2.22
F (0.5217, 0.7500, 0.2942)  1 Cd 2.12
F (0.6709, 0.5077, 0.8794)  1 Cd 2.16
F (0.6709, 0.9923, 0.8794)  1 Cd 2.16
F (0.7111, 0.2500, 0.0910)  1 Cd 2.15
F (0.7889, 0.7500, 0.5910)  1 Cd 2.15
F (0.8291, 0.0077, 0.3794)  1 Cd 2.16
F (0.8291, 0.4923, 0.3794)  1 Cd 2.16
F (0.9783, 0.2500, 0.7942)  1 Cd 2.12

=====

A geometry-optimized Rb4Cd3F10 structure, computed with PBE.

## Properties
DOS at the Fermi energy: 0.00 states/eV/atom
space group: I4/mmm (139)
mass density: 4.45 g/cm3
E_form (uncorrected): -2486 meV/atom

a b c (Å): 16.3080 16.3080 16.3080
angles (deg): 164.12 164.12 22.52
Closest atoms and distances in Å follow each position.
Fractional coordinates of all 17 atoms:
Rb (0.0694, 0.0694, 0.0000)  12 F 3.16-3.19
Rb (0.2033, 0.2033, 0.0000)  5 F 2.75-3.04
Rb (0.7967, 0.7967, 0.0000)  5 F 2.75-3.04
Rb (0.9306, 0.9306, 0.0000)  12 F 3.16-3.19
Cd (0.3590, 0.3590, 0.0000)  6 F 2.23-2.26
Cd (0.5000, 0.5000, 0.0000)  6 F 2.25
Cd (0.6410, 0.6410, 0.0000)  6 F 2.23-2.26
F (0.0000, 0.5000, 0.5000)  2 Cd 2.25
F (0.1394, 0.6394, 0.5000)  2 Cd 2.25
F (0.2891, 0.2891, 0.0000)  1 Cd 2.23
F (0.3606, 0.8606, 0.5000)  2 Cd 2.25
F (0.4297, 0.4297, 0.0000)  2 Cd 2.25-2.26
F (0.5000, 0.0000, 0.5000)  2 Cd 2.25
F (0.5703, 0.5703, 0.0000)  2 Cd 2.25-2.26
F (0.6394, 0.1394, 0.5000)  2 Cd 2.25
F (0.7109, 0.7109, 0.0000)  1 Cd 2.23
F (0.8606, 0.3606, 0.5000)  2 Cd 2.25